Record 1
An optimized crystal structure of LiCaCu3. Source: Alexandria, functional GGA-PBE.

Output
energy of formation from the pure elements: 1.123 eV per formula unit
polymorph energy (0 for the lowest one): 218 meV per atom
total magnetization: 0.00 μB/cell
volume: 17.307 A^3/atom
uncorrected energy: -3.02 eV/atom

Unit cell a=4.4231 b=4.4231 c=4.4231 alpha=90.00 beta=90.00 gamma=90.00
Closest atoms and distances in Å follow each position.
Fractional positions:
Li 0.0000 0.0000 0.0000  6 Cu 2.21
Ca 0.5000 0.5000 0.5000  12 Cu 3.13
Cu 0.0000 0.0000 0.5000  2 Li 2.21
Cu 0.0000 0.5000 0.0000  2 Li 2.21
Cu 0.5000 0.0000 0.0000  2 Li 2.21


Record 2
An optimized crystal structure of LiCaLuCu. Source: Alexandria, functional GGA-PBE.

Output
energy of formation from the pure elements: 0.079 eV per formula unit
total magnetization: 0.00 μB/cell
volume: 22.617 A^3/atom
uncorrected energy: -3.11 eV/atom

Unit cell a=5.0389 b=5.0389 c=5.0389 alpha=60.00 beta=60.00 gamma=60.00
Closest atoms and distances in Å follow each position.
Fractional positions:
Li 0.0000 0.0000 0.0000  4 Lu 3.09, 4 Ca 3.09
Ca 0.2500 0.2500 0.2500  4 Cu 3.09, 4 Li 3.09
Lu 0.7500 0.7500 0.7500  4 Cu 3.09, 4 Li 3.09
Cu 0.5000 0.5000 0.5000  4 Lu 3.09, 4 Ca 3.09


Record 3
An optimized crystal structure of Li2CaMgCu. Source: Alexandria, functional GGA-PBE.

Output
energy of formation from the pure elements: 0.327 eV per formula unit
total magnetization: 0.00 μB/cell
volume: 23.771 A^3/atom
uncorrected energy: -2.24 eV/atom

Unit cell a=4.8849 b=4.8849 c=4.9810 alpha=90.00 beta=90.00 gamma=90.00
Closest atoms and distances in Å follow each position.
Fractional positions:
Li 0.0000 0.5000 0.0000  2 Cu 2.44
Li 0.5000 0.0000 0.0000  2 Cu 2.44
Ca 0.0000 0.0000 0.5000  4 Mg 3.45, 8 Li 3.49
Mg 0.5000 0.5000 0.5000  2 Cu 2.49
Cu 0.5000 0.5000 0.0000  4 Li 2.44, 2 Mg 2.49


Record 4
An optimized crystal structure of LiCa2MgCu. Source: Alexandria, functional GGA-PBE.

Output
energy of formation from the pure elements: 0.420 eV per formula unit
polymorph energy (0 for the lowest one): 32 meV per atom
total magnetization: 0.00 μB/cell
volume: 29.818 A^3/atom
uncorrected energy: -2.24 eV/atom

Unit cell a=5.5807 b=5.5807 c=4.7871 alpha=90.00 beta=90.00 gamma=90.00
Closest atoms and distances in Å follow each position.
Fractional positions:
Li 0.0000 0.0000 0.0000  2 Cu 2.39
Ca 0.0000 0.5000 0.5000  2 Cu 2.79
Ca 0.5000 0.0000 0.5000  2 Cu 2.79
Mg 0.5000 0.5000 0.0000  8 Ca 3.68, 4 Li 3.95
Cu 0.0000 0.0000 0.5000  2 Li 2.39